(1)
HfSc2HRu: relaxed, PBE-GGA.

abc: 5.1807 5.1807 3.3707
angles: 90.00 90.00 90.00
Sites, in units of the cell vectors:
Hf1 0.0000 0.0000 0.0000
Sc1 0.0000 0.5000 0.5000
Sc2 0.5000 0.0000 0.5000
H1 0.5000 0.5000 0.0000
Ru1 0.5000 0.5000 0.5000

Calculated values
raw total energy	-6.78	eV per atom
N(E_F)	5.57	states/eV/f.u.
crystal system	tetragonal
total magnetization	0.1	μB per cell

(2)
KHfGa: relaxed, PBE-GGA.

abc: 3.3427 4.0502 13.2598
angles: 90.16 90.12 90.00
Sites, in units of the cell vectors:
K1 0.2472 0.2461 0.1571
K2 0.7528 0.7539 0.8429
Hf1 0.2494 0.2494 0.4310
Hf2 0.7506 0.7506 0.5690
Ga1 0.2514 0.2514 0.6508
Ga2 0.7486 0.7486 0.3492

Calculated values
polymorph energy (0 for the lowest one)	0.000	eV per atom
DFT formation energy	-0.08	eV/atom
N(E_F)	2.73	states/eV/f.u.
crystal system	triclinic
total magnetization	0.0	μB per cell

(3)
La3SmDy6Y2: relaxed, PBE-GGA.

abc: 6.2530 6.2530 11.9120
angles: 95.02 95.02 120.02
Sites, in units of the cell vectors:
La1 0.0000 0.0000 0.0000
La2 0.3331 0.6669 0.0000
La3 0.6669 0.3331 0.0000
Sm1 0.5000 0.5000 0.5000
Dy1 0.0852 0.4183 0.2542
Dy2 0.2486 0.2486 0.7460
Dy3 0.4183 0.0852 0.2542
Dy4 0.5817 0.9148 0.7458
Dy5 0.7514 0.7514 0.2540
Dy6 0.9148 0.5817 0.7458
Y1 0.1667 0.8333 0.5000
Y2 0.8333 0.1667 0.5000

Calculated values
DFT formation energy	0.02	eV/atom
N(E_F)	16.80	states/eV/f.u.
crystal system	monoclinic
total magnetization	0.0	μB per cell

(4)
CaTa2MnW: relaxed, PBE-GGA.

abc: 4.9120 4.9120 4.9819
angles: 90.00 90.00 90.00
Sites, in units of the cell vectors:
Ca1 0.0000 0.0000 0.0000
Ta1 0.0000 0.5000 0.5000
Ta2 0.5000 0.0000 0.5000
Mn1 0.5000 0.5000 0.0000
W1 0.5000 0.5000 0.5000

Calculated values
DFT formation energy	1.15	eV/atom
N(E_F)	5.86	states/eV/f.u.
crystal system	tetragonal
total magnetization	2.6	μB per cell

(5)
CuGe3N: relaxed, PBE-GGA.

abc: 4.3307 4.3307 4.3307
angles: 90.00 90.00 90.00
Sites, in units of the cell vectors:
Cu1 0.0000 0.0000 0.0000
Ge1 0.0000 0.5000 0.5000
Ge2 0.5000 0.0000 0.5000
Ge3 0.5000 0.5000 0.0000
N1 0.5000 0.5000 0.5000

Calculated values
polymorph energy (0 for the lowest one)	0.000	eV per atom
N(E_F)	2.99	states/eV/f.u.
crystal system	cubic
raw formation energy	758	meV per atom
total magnetization	0.0	μB per cell

(6)
KMg2BiCl8: relaxed, PBE-GGA.

abc: 6.4873 6.4904 8.9245
angles: 79.81 79.51 79.85
Sites, in units of the cell vectors:
K1 0.0000 0.0000 0.0000
Mg1 0.4546 0.4573 0.2116
Mg2 0.5454 0.5427 0.7884
Bi1 0.0000 0.0000 0.5000
Cl1 0.2028 0.7515 0.7293
Cl2 0.2603 0.8074 0.2677
Cl3 0.2719 0.2868 0.4581
Cl4 0.3252 0.3372 0.0114
Cl5 0.6748 0.6628 0.9886
Cl6 0.7281 0.7132 0.5419
Cl7 0.7397 0.1926 0.7323
Cl8 0.7972 0.2485 0.2707

Calculated values
N(E_F)	0.00	states/eV/f.u.
crystal system	triclinic
raw formation energy	-1537	meV per atom
total magnetization	0.0	μB per cell

(7)
AcHoSi2: relaxed, PBE-GGA.

abc: 3.8461 3.8461 6.6375
angles: 90.00 90.00 90.00
Sites, in units of the cell vectors:
Ac1 0.0000 0.0000 0.0000
Ho1 0.0000 0.0000 0.5000
Si1 0.5000 0.5000 0.3143
Si2 0.5000 0.5000 0.6857

Calculated values
polymorph energy (0 for the lowest one)	0.000	eV per atom
N(E_F)	2.60	states/eV/f.u.
crystal system	tetragonal
raw formation energy	-498	meV per atom
total magnetization	0.0	μB per cell

(8)
BeRuCl2: relaxed, PBE-GGA.

abc: 2.9300 5.6048 10.9110
angles: 90.00 90.00 90.00
Sites, in units of the cell vectors:
Be1 0.0000 0.0000 0.0000
Be2 0.5000 0.5000 0.0000
Ru1 0.0000 0.0000 0.5000
Ru2 0.5000 0.5000 0.5000
Cl1 0.0000 0.5000 0.1337
Cl2 0.0000 0.5000 0.8663
Cl3 0.5000 0.0000 0.1337
Cl4 0.5000 0.0000 0.8663

Calculated values
polymorph energy (0 for the lowest one)	0.462	eV per atom
N(E_F)	2.14	states/eV/f.u.
crystal system	orthorhombic
raw formation energy	226	meV per atom
total magnetization	5.2	μB per cell